# Ba4AcMo3O12

A geometry-optimized Ba4AcMo3O12 structure (PBE with a Hubbard U, Alexandria).

a b c (Å): 7.4450 7.4450 7.4450
angles (deg): 109.47 109.47 109.47
With the nearest neighbours (Å) after each atom.
Sites, in units of the cell vectors:
Ba 0.5000 0.0000 0.0000  12 O 3.04-3.05
O 0.2742 0.2742 0.0000  1 Mo 1.94
Ba 0.5000 0.5000 0.5000  12 O 3.04-3.05
O 0.0000 0.2742 0.2742  1 Mo 1.94
Ba 0.0000 0.0000 0.5000  12 O 3.04-3.05
Mo 0.5000 0.0000 0.5000  6 O 1.94-2.15
O 0.2742 0.0000 0.2742  1 Mo 1.94
O 0.7258 0.7258 0.0000  1 Mo 1.94
O 0.5000 0.7500 0.2500  2 Mo 2.15
O 0.2500 0.5000 0.7500  2 Mo 2.15
O 0.7500 0.2500 0.5000  2 Mo 2.15
Mo 0.0000 0.5000 0.5000  6 O 1.94-2.15
O 0.0000 0.7258 0.7258  1 Mo 1.94
Ac 0.0000 0.0000 0.0000  6 O 2.36
O 0.7500 0.5000 0.2500  2 Mo 2.15
Mo 0.5000 0.5000 0.0000  6 O 1.94-2.15
O 0.2500 0.7500 0.5000  2 Mo 2.15
Ba 0.0000 0.5000 0.0000  12 O 3.04-3.05
O 0.7258 0.0000 0.7258  1 Mo 1.94
O 0.5000 0.2500 0.7500  2 Mo 2.15

Calculated values
E_tot	-6.94	eV/atom